Material: Ba7RhAu3
Method: DFT, GGA-PBE
State: relaxed

Cell lengths 7.973, 7.973, 8.013 Å; angles 75.44, 75.44, 102.02 degrees
Element x y z (fractional)
Au 0.429 0.429 0.896
Ba 0.049 0.366 0.747
Ba 0.130 0.628 0.179
Ba 0.794 0.794 0.799
Ba 0.628 0.130 0.179
Ba 0.366 0.049 0.747
Rh 0.942 0.942 0.049
Ba 0.118 0.118 0.270
Ba 0.613 0.613 0.406
Au 0.798 0.257 0.489
Au 0.257 0.798 0.489

Values from the calculation:
Energy of formation from the pure elements: -0.4297 eV/atom
V: 456.7 Å³/cell
Space-group type: Cm
Magnetic moment: 0.00 μB per cell
Density of states at the Fermi level: 6.92 states/eV/f.u.

Material: Tc2SbW
Method: DFT, GGA-PBE
State: relaxed

Cell lengths 3.071, 3.071, 6.995 Å; angles 90.00, 90.00, 90.00 degrees
Element x y z (fractional)
Tc 0.000 0.000 0.014
W 0.000 0.000 0.482
Sb 0.500 0.500 0.758
Tc 0.500 0.500 0.246

Values from the calculation:
V: 66.0 Å³/cell
Space-group type: P4mm
Magnetic moment: 0.00 μB per cell
Density of states at the Fermi level: 3.37 states/eV/f.u.
Formation energy (no corrections): 0.333 eV/atom

Material: Cd12In16Ga
Method: DFT, GGA-PBE
State: relaxed

Cell lengths 9.830, 9.830, 9.885 Å; angles 109.63, 109.63, 109.44 degrees
Element x y z (fractional)
Cd 0.810 0.622 0.618
In 0.590 0.281 0.593
In 0.718 0.310 0.308
In 0.000 0.000 0.667
In 0.661 0.998 0.996
In 0.412 0.690 0.004
Cd 0.378 0.192 0.001
Cd 0.629 0.629 0.818
Cd 0.806 0.806 0.194
In 0.348 0.348 0.337
Ga 0.595 0.595 0.287
Cd 0.998 0.187 0.371
Cd 0.809 0.188 0.813
In 0.001 0.001 0.003
In 0.404 0.998 0.688
Cd 0.192 0.378 0.001
Cd 0.377 0.001 0.189
Cd 0.001 0.377 0.189
In 0.281 0.590 0.593
Cd 0.187 0.998 0.371
Cd 0.622 0.810 0.618
In 0.998 0.661 0.996
In 0.310 0.718 0.308
In 0.998 0.404 0.688
In 0.690 0.412 0.004
In 0.308 0.308 0.713
In 0.691 0.999 0.410
In 0.999 0.691 0.410
Cd 0.188 0.809 0.813

Values from the calculation:
Energy of formation from the pure elements: 0.0230 eV/atom
V: 732.7 Å³/cell
Space-group type: Cm
Magnetic moment: 0.00 μB per cell
Density of states at the Fermi level: 8.07 states/eV/f.u.

Material: RhCl3F
Method: DFT, GGA-PBE
State: relaxed

Cell lengths 4.653, 4.653, 4.653 Å; angles 90.00, 90.00, 90.00 degrees
Element x y z (fractional)
Cl 0.000 0.000 0.500
Cl 0.000 0.500 0.000
Rh 0.500 0.500 0.500
F 0.000 0.000 0.000
Cl 0.500 0.000 0.000

Values from the calculation:
V: 100.7 Å³/cell
Offset from the most stable computed form: 1471 meV/atom
Space-group type: Pm-3m
Magnetic moment: 2.45 μB per cell
Density of states at the Fermi level: 6.60 states/eV/f.u.
Formation energy (no corrections): 0.806 eV/atom

Material: LiP4Au3
Method: DFT, GGA-PBE
State: relaxed

Cell lengths 4.151, 4.151, 19.368 Å; angles 90.00, 90.00, 120.00 degrees
Element x y z (fractional)
Li 0.333 0.667 0.710
Au 0.000 0.000 0.161
Au 0.667 0.333 0.339
P 0.333 0.667 0.421
Au 0.333 0.667 0.986
P 0.667 0.333 0.630
P 0.667 0.333 0.921
P 0.000 0.000 0.290
Au 0.667 0.333 0.486
P 0.000 0.000 0.027
Au 0.333 0.667 0.839
P 0.000 0.000 0.527
Li 0.667 0.333 0.210
P 0.333 0.667 0.130
P 0.000 0.000 0.790
Au 0.000 0.000 0.661

Values from the calculation:
Energy of formation from the pure elements: 0.1252 eV/atom
V: 289.1 Å³/cell
Space-group type: P6_3mc
Magnetic moment: 0.00 μB per cell
Density of states at the Fermi level: 2.44 states/eV/f.u.

Material: TbPr2Tm
Method: DFT, GGA-PBE
State: relaxed

Cell lengths 3.634, 3.634, 11.923 Å; angles 81.23, 81.23, 60.00 degrees
Element x y z (fractional)
Tb 0.500 0.500 0.501
Pr 0.083 0.083 0.752
Pr 0.250 0.250 0.249
Tm 0.667 0.667 0.998

Values from the calculation:
Energy of formation from the pure elements: 0.0241 eV/atom
V: 134.3 Å³/cell
Offset from the most stable computed form: 10 meV/atom
Space-group type: R3m
Magnetic moment: 0.00 μB per cell
Density of states at the Fermi level: 5.64 states/eV/f.u.

Material: GdMgZrOs
Method: DFT, GGA-PBE
State: relaxed

Cell lengths 4.900, 4.900, 4.900 Å; angles 60.00, 60.00, 60.00 degrees
Element x y z (fractional)
Mg 0.000 0.000 0.000
Zr 0.750 0.750 0.750
Os 0.500 0.500 0.500
Gd 0.250 0.250 0.250

Values from the calculation:
Energy of formation from the pure elements: -0.1001 eV/atom
V: 83.2 Å³/cell
Space-group type: F-43m
Magnetic moment: 7.08 μB per cell
Density of states at the Fermi level: 3.37 states/eV/f.u.

Material: ZrPb2W
Method: DFT, GGA-PBE
State: relaxed

Cell lengths 4.837, 4.837, 3.774 Å; angles 90.00, 90.00, 97.36 degrees
Element x y z (fractional)
W 0.500 0.000 0.500
Zr 0.000 0.500 0.500
Pb 0.000 0.000 0.000
Pb 0.500 0.500 0.000

Values from the calculation:
Energy of formation from the pure elements: 0.6569 eV/atom
V: 87.6 Å³/cell
Offset from the most stable computed form: 309 meV/atom
Space-group type: Cmmm
Magnetic moment: 0.00 μB per cell
Density of states at the Fermi level: 3.42 states/eV/f.u.

Material: ZrBe4Cu8
Method: DFT, GGA-PBE
State: relaxed

Cell lengths 4.524, 6.162, 6.162 Å; angles 82.26, 68.46, 68.46 degrees
Element x y z (fractional)
Cu 0.281 0.219 0.219
Cu 0.348 0.652 0.652
Be 0.500 0.500 0.000
Cu 0.719 0.781 0.781
Cu 0.652 0.348 0.348
Be 0.000 0.000 0.500
Be 0.500 0.000 0.500
Cu 0.000 0.348 0.652
Cu 0.500 0.219 0.781
Be 0.000 0.500 0.000
Zr 0.000 0.000 0.000
Cu 0.000 0.652 0.348
Cu 0.500 0.781 0.219

Values from the calculation:
Energy of formation from the pure elements: -0.1408 eV/atom
V: 148.6 Å³/cell
Space-group type: I4/mmm
Magnetic moment: 0.00 μB per cell
Density of states at the Fermi level: 4.16 states/eV/f.u.

Material: Pr2HoZn2
Method: DFT, GGA-PBE
State: relaxed

Cell lengths 6.201, 7.597, 7.718 Å; angles 119.48, 113.69, 90.00 degrees
Element x y z (fractional)
Pr 0.298 0.957 0.596
Zn 0.444 0.774 0.887
Ho 0.750 0.500 0.000
Ho 0.250 0.500 0.000
Zn 0.556 0.226 0.113
Pr 0.798 0.639 0.596
Zn 0.944 0.113 0.887
Zn 0.056 0.887 0.113
Pr 0.702 0.043 0.404
Pr 0.202 0.361 0.404

Values from the calculation:
Energy of formation from the pure elements: -0.0362 eV/atom
V: 280.8 Å³/cell
Offset from the most stable computed form: 164 meV/atom
Space-group type: Ibam
Magnetic moment: 0.00 μB per cell
Density of states at the Fermi level: 6.61 states/eV/f.u.

Material: Zr2CrGa
Method: DFT, GGA-PBE
State: relaxed

Cell lengths 3.352, 3.352, 6.420 Å; angles 90.00, 90.00, 90.00 degrees
Element x y z (fractional)
Cr 0.500 0.500 0.000
Ga 0.500 0.500 0.500
Zr 0.000 0.000 0.764
Zr 0.000 0.000 0.236

Values from the calculation:
Energy of formation from the pure elements: -0.1992 eV/atom
V: 72.1 Å³/cell
Space-group type: P4/mmm
Magnetic moment: 0.01 μB per cell
Density of states at the Fermi level: 3.44 states/eV/f.u.

Material: BaMg3Bi3
Method: DFT, GGA-PBE
State: relaxed

Cell lengths 8.305, 8.305, 9.803 Å; angles 64.94, 64.94, 60.00 degrees
Element x y z (fractional)
Bi 0.232 0.596 0.260
Mg 0.784 0.127 0.612
Bi 0.596 0.912 0.260
Bi 0.088 0.768 0.740
Ba 0.667 0.667 0.000
Mg 0.216 0.873 0.388
Ba 0.333 0.333 0.000
Mg 0.477 0.784 0.612
Bi 0.768 0.404 0.740
Mg 0.127 0.477 0.612
Bi 0.912 0.232 0.260
Mg 0.873 0.523 0.388
Bi 0.404 0.088 0.740
Mg 0.523 0.216 0.388

Values from the calculation:
Energy of formation from the pure elements: -0.3914 eV/atom
V: 510.8 Å³/cell
Offset from the most stable computed form: 0 meV/atom
Space-group type: R-3
Magnetic moment: 0.00 μB per cell
Density of states at the Fermi level: 4.98 states/eV/f.u.

Material: Mg2CuHRh
Method: DFT, GGA-PBE
State: relaxed

Cell lengths 4.938, 4.623, 4.938 Å; angles 90.00, 90.00, 90.00 degrees
Element x y z (fractional)
Mg 0.000 0.000 0.500
Mg 0.500 0.000 0.000
Rh 0.000 0.000 0.000
H 0.500 0.500 0.500
Cu 0.000 0.500 0.000

Values from the calculation:
V: 112.7 Å³/cell
Offset from the most stable computed form: 1027 meV/atom
Space-group type: P4/mmm
Magnetic moment: 0.00 μB per cell
Density of states at the Fermi level: 3.41 states/eV/f.u.

Material: NaAg2Hg
Method: DFT, GGA-PBE
State: relaxed

Cell lengths 5.705, 5.709, 7.832 Å; angles 90.00, 90.00, 133.83 degrees
Element x y z (fractional)
Hg 0.733 0.769 0.250
Hg 0.267 0.231 0.750
Ag 0.126 0.375 0.063
Ag 0.126 0.375 0.437
Na 0.562 0.935 0.750
Ag 0.874 0.625 0.937
Na 0.438 0.065 0.250
Ag 0.874 0.625 0.563

Values from the calculation:
Energy of formation from the pure elements: -0.0195 eV/atom
V: 184.0 Å³/cell
Space-group type: P2_1/m
Magnetic moment: 0.00 μB per cell
Density of states at the Fermi level: 1.57 states/eV/f.u.